# 1
This record from Alexandria describes a relaxed structure of RbNiI2. The functional is PBEsol.

Output
Calculated volume (Å³/f.u.): 120.72
VASP energy (hartree per atom): -0.097

Cell and atoms, written as CIF:
```
data_RbNiI2
_space_group_name_H-M_alt 'P 1'
_space_group_IT_number 1
_cell_length_a 7.845
_cell_length_b 7.845
_cell_length_c 7.845
_cell_angle_alpha 90.00
_cell_angle_beta 90.00
_cell_angle_gamma 90.00
loop_
_space_group_symop_operation_xyz
'x,y,z'
loop_
_atom_site_label
_atom_site_fract_x
_atom_site_fract_y
_atom_site_fract_z
Rb1 0.000 0.000 0.000
Rb2 0.000 0.500 0.500
Rb3 0.500 0.000 0.500
Rb4 0.500 0.500 0.000
Ni1 0.000 0.000 0.500
Ni2 0.000 0.500 0.000
Ni3 0.500 0.000 0.000
Ni4 0.500 0.500 0.500
I1 0.250 0.250 0.250
I2 0.250 0.250 0.750
I3 0.250 0.750 0.250
I4 0.250 0.750 0.750
I5 0.750 0.250 0.250
I6 0.750 0.250 0.750
I7 0.750 0.750 0.250
I8 0.750 0.750 0.750
```

***

# 2
This record from Alexandria describes a relaxed structure of Re3NiI. The functional is PBEsol.

Output
Calculated volume (Å³/f.u.): 104.71
VASP energy (hartree per atom): -0.233

Cell and atoms, written as CIF:
```
data_Re3NiI
_space_group_name_H-M_alt 'P 1'
_space_group_IT_number 1
_cell_length_a 4.713
_cell_length_b 4.713
_cell_length_c 4.713
_cell_angle_alpha 90.00
_cell_angle_beta 90.00
_cell_angle_gamma 90.00
loop_
_space_group_symop_operation_xyz
'x,y,z'
loop_
_atom_site_label
_atom_site_fract_x
_atom_site_fract_y
_atom_site_fract_z
Re1 0.000 0.000 0.500
Re2 0.000 0.500 0.000
Re3 0.500 0.000 0.000
Ni1 0.500 0.500 0.500
I1 0.000 0.000 0.000
```

***

> What is the VASP energy in the first record?

-0.097 hartree per atom